Record 1
First-principles (PBE) data for a relaxed LiHfBe2Sb crystal, as listed in the Alexandria database.

Structure (POSCAR):
```
LiHfBe2Sb
1.0
4.5776 0.0000 0.0000
0.0000 4.5776 0.0000
0.0000 0.0000 4.5802
Li Hf Be Sb
1 1 2 1
Cartesian
0.0000 0.0000 0.0000 Li
2.2888 2.2888 0.0000 Hf
0.0000 2.2888 2.2901 Be
2.2888 0.0000 2.2901 Be
0.0000 0.0000 2.2901 Sb
```

Properties
Space-group type = No. 123
ΔE_f (raw) = 4.92 eV per formula unit
D(E_F) = 0.42 states/eV per atom

Record 2
First-principles (PBE) data for a relaxed Cs2YI5 crystal, as listed in the Alexandria database.

Structure (POSCAR):
```
Cs2YI5
1.0
-4.5520 4.5520 5.4575
4.5520 -4.5520 5.4575
4.5520 4.5520 -5.4575
Cs Y I
2 1 5
Cartesian
4.5520 0.0000 0.0000 Cs
0.0000 4.5520 0.0000 Cs
0.0000 0.0000 2.3037 Y
2.4637 2.4637 -2.6122 I
2.0883 -2.0883 2.8453 I
-2.0883 2.0883 2.8453 I
2.0883 2.0883 2.8453 I
0.0000 0.0000 10.3767 I
```

Properties
Space-group type = No. 107
ΔE_f (raw) = -11.70 eV per formula unit
E above lowest polymorph = 0.0386 eV/atom
D(E_F) = 0.00 states/eV per atom

Record 3
First-principles (PBE) data for a relaxed Tb2Al5Pd2Rh crystal, as listed in the Alexandria database.

Structure (POSCAR):
```
Tb2Al5Pd2Rh
1.0
10.0689 0.0000 0.0000
0.0000 10.0689 0.0000
0.0000 0.0000 3.5952
Tb Al Pd Rh
4 10 4 2
Cartesian
1.8540 3.1804 0.0000 Tb
3.1804 8.2148 0.0000 Tb
6.8885 1.8540 0.0000 Tb
8.2148 6.8885 0.0000 Tb
0.0000 5.0344 1.7976 Al
0.4681 8.1436 1.7976 Al
1.9253 0.4681 1.7976 Al
3.1091 5.5025 1.7976 Al
4.5663 3.1091 1.7976 Al
5.0344 0.0000 1.7976 Al
5.5025 6.9597 1.7976 Al
6.9597 4.5663 1.7976 Al
8.1436 9.6008 1.7976 Al
9.6008 1.9253 1.7976 Al
1.2043 6.2387 0.0000 Pd
3.8301 1.2043 0.0000 Pd
6.2387 8.8645 0.0000 Pd
8.8645 3.8301 0.0000 Pd
0.0000 0.0000 0.0000 Rh
5.0344 5.0344 0.0000 Rh
```

Properties
Space-group type = No. 127
ΔE_f = -0.684 eV/atom
D(E_F) = 0.73 states/eV per atom